CoRuSe2: optimized geometry, PBE-GGA.

Cell lengths 7.4177, 7.4177, 7.4177 Å; angles 24.33, 24.33, 24.33 degrees
With the nearest neighbours (Å) after each atom.
Atoms (fractional coordinates):
1 Co 0.0000 0.0000 0.0000  6 Se 2.48
2 Ru 0.5000 0.5000 0.5000  6 Se 2.61
3 Se 0.2543 0.2543 0.2543  3 Co 2.48, 3 Ru 2.61
4 Se 0.7457 0.7457 0.7457  3 Co 2.48, 3 Ru 2.61

The space-group type is R-3m (166). The crystal system is trigonal.

---

ZrBePd2: optimized geometry, PBE-GGA.

Cell lengths 9.0622, 9.0622, 9.0622 Å; angles 154.80, 154.80, 35.94 degrees
With the nearest neighbours (Å) after each atom.
Atoms (fractional coordinates):
1 Zr 0.0000 0.0000 0.0000  4 Pd 2.62, 4 Be 2.80
2 Zr 0.7500 0.2500 0.5000  4 Pd 2.62, 4 Be 2.80
3 Be 0.2500 0.7500 0.5000  4 Pd 2.53, 4 Zr 2.80
4 Be 0.5000 0.5000 0.0000  4 Pd 2.53, 4 Zr 2.80
5 Pd 0.1546 0.6250 0.0296  2 Be 2.53, 2 Zr 2.62, 2 Pd 2.64
6 Pd 0.3750 0.4046 0.5296  2 Be 2.53, 2 Zr 2.62, 2 Pd 2.64
7 Pd 0.5954 0.1250 0.9704  2 Be 2.53, 2 Zr 2.62, 2 Pd 2.64
8 Pd 0.8750 0.8454 0.4704  2 Be 2.53, 2 Zr 2.62, 2 Pd 2.64

The space-group type is I-42d (122). The calculated formation energy comes out at -9.6 kJ per mole of atoms. The crystal system is tetragonal.

---

DOS at the Fermi energy: 1.08; 0.96 (states/eV/atom)
Magnetization: 0.292; 0.000 (μB per atom)
Excess energy over the best structure of this formula in the dataset: 167.4; 223.2 (kJ/mol of formula units)